[1]
Here is ErZnIn2 after structural relaxation from Alexandria via LeMat-Bulk. Energies are from PBE.

Results
* total magnetization: 0.0 μB per formula unit
* ΔH_f (0 K): -252 meV per atom

Cell and atoms, written as CIF:
```
data_ErZnIn2
_cell_length_a 4.446
_cell_length_b 7.338
_cell_length_c 6.033
_cell_angle_alpha 90.00
_cell_angle_beta 111.41
_cell_angle_gamma 90.00
_symmetry_space_group_name_H-M 'P 1 21/m 1'
_symmetry_Int_Tables_number 11
_symmetry_space_group_name_Hall '-P 2yb'
loop_
_atom_site_label
_atom_site_type_symbol
_atom_site_fract_x
_atom_site_fract_y
_atom_site_fract_z
_atom_site_occupancy
Er1 Er 0.073 0.250 0.146 1
Zn1 Zn 0.208 0.750 0.416 1
In1 In 0.370 0.046 0.742 1
```

[2]
Here is AlRe2Hg after structural relaxation from Alexandria via LeMat-Bulk. Energies are from PBE.

Results
* total magnetization: 0.0 μB per formula unit
* ΔH_f (0 K): 673 meV per atom

Cell and atoms, written as CIF:
```
data_AlRe2Hg
_cell_length_a 3.876
_cell_length_b 3.876
_cell_length_c 8.657
_cell_angle_alpha 90.00
_cell_angle_beta 90.00
_cell_angle_gamma 90.00
_symmetry_space_group_name_H-M 'I 4/m m m'
_symmetry_Int_Tables_number 139
_symmetry_space_group_name_Hall '-I 4 2'
loop_
_atom_site_label
_atom_site_type_symbol
_atom_site_fract_x
_atom_site_fract_y
_atom_site_fract_z
_atom_site_occupancy
Al1 Al 0.000 0.000 0.000 1
Re1 Re 0.000 0.500 0.250 1
Hg1 Hg 0.000 0.000 0.500 1
```

[3]
Here is MgVSnRh after structural relaxation from Alexandria via LeMat-Bulk. Energies are from PBE.

Results
* total magnetization: 2.6 μB per formula unit
* ΔH_f (0 K): -235 meV per atom

Cell and atoms, written as CIF:
```
data_MgVSnRh
_cell_length_a 6.442
_cell_length_b 6.442
_cell_length_c 6.442
_cell_angle_alpha 90.00
_cell_angle_beta 90.00
_cell_angle_gamma 90.00
_symmetry_space_group_name_H-M 'F -4 3 m'
_symmetry_Int_Tables_number 216
_symmetry_space_group_name_Hall 'F -4 2 3'
loop_
_atom_site_label
_atom_site_type_symbol
_atom_site_fract_x
_atom_site_fract_y
_atom_site_fract_z
_atom_site_occupancy
Mg1 Mg 0.000 0.000 0.000 1
V1 V 0.250 0.250 0.250 1
Sn1 Sn 0.000 0.000 0.500 1
Rh1 Rh 0.250 0.250 0.750 1
```

[4]
Here is CeNi3C after structural relaxation from Alexandria via LeMat-Bulk. Energies are from PBE.

Results
* total magnetization: 0.0 μB per formula unit
* ΔH_f (0 K): 48 meV per atom

Cell and atoms, written as CIF:
```
data_CeNi3C
_cell_length_a 5.3235
_cell_length_b 5.3235
_cell_length_c 5.2983
_cell_angle_alpha 90.00
_cell_angle_beta 90.00
_cell_angle_gamma 120.00
_symmetry_space_group_name_H-M 'P 63/m m c'
_symmetry_Int_Tables_number 194
_symmetry_space_group_name_Hall '-P 6c 2c'
loop_
_atom_site_label
_atom_site_type_symbol
_atom_site_fract_x
_atom_site_fract_y
_atom_site_fract_z
_atom_site_occupancy
Ce1 Ce 0.3333 0.6667 0.2500 1
Ni1 Ni 0.1665 0.3329 0.7500 1
C1 C 0.0000 0.0000 0.0000 1
```